Compound: LiRh
Source: Alexandria
Functional: GGA-PBE
Structure: relaxed

a = 2.799 Å, b = 2.799 Å, c = 7.097 Å
α = 90.00°, β = 90.00°, γ = 90.00°
Atoms (fractional coordinates):
Li  0.250  0.250  0.135
Li  0.750  0.750  0.865
Rh  0.250  0.250  0.624
Rh  0.750  0.750  0.376

## Properties
Energy of formation from the pure elements = -0.07 eV per atom
Total magnetization = 0.00 Bohr magnetons per cell

***

Compound: LiRh
Source: Alexandria
Functional: GGA-PBE
Structure: relaxed

a = 4.044 Å, b = 4.044 Å, c = 4.800 Å
α = 90.00°, β = 90.00°, γ = 120.00°
Atoms (fractional coordinates):
Li  0.333  0.667  0.250
Li  0.667  0.333  0.750
Rh  0.000  0.000  0.000
Rh  0.000  0.000  0.500

## Properties
Energy of formation from the pure elements = 0.47 eV per atom
Total magnetization = 0.65 Bohr magnetons per cell

***

Compound: Li3Rh2
Source: Alexandria
Functional: GGA-PBE
Structure: relaxed

a = 2.702 Å, b = 2.702 Å, c = 33.491 Å
α = 90.00°, β = 90.00°, γ = 120.00°
Atoms (fractional coordinates):
Li  0.000  0.000  0.000
Li  0.000  0.000  0.206
Li  0.000  0.000  0.794
Li  0.333  0.667  0.460
Li  0.333  0.667  0.667
Li  0.333  0.667  0.873
Li  0.667  0.333  0.127
Li  0.667  0.333  0.333
Li  0.667  0.333  0.540
Rh  0.000  0.000  0.398
Rh  0.000  0.000  0.602
Rh  0.333  0.667  0.065
Rh  0.333  0.667  0.269
Rh  0.667  0.333  0.731
Rh  0.667  0.333  0.935

## Properties
Energy of formation from the pure elements = -0.14 eV per atom
Total magnetization = 0.05 Bohr magnetons per cell
Distance to the lowest polymorph of the same formula = 0 meV/atom

***

Compound: LiRh
Source: Alexandria
Functional: GGA-PBE
Structure: relaxed

a = 2.709 Å, b = 4.434 Å, c = 4.513 Å
α = 90.00°, β = 90.00°, γ = 90.00°
Atoms (fractional coordinates):
Li  0.250  0.250  0.061
Li  0.750  0.750  0.939
Rh  0.250  0.750  0.446
Rh  0.750  0.250  0.554

## Properties
Energy of formation from the pure elements = -0.18 eV per atom
Total magnetization = 0.00 Bohr magnetons per cell

***

Compound: LiRh
Source: Alexandria
Functional: GGA-PBE
Structure: relaxed

a = 9.838 Å, b = 2.682 Å, c = 6.471 Å
α = 90.00°, β = 103.47°, γ = 90.00°
Atoms (fractional coordinates):
Li  0.000  0.000  0.000
Li  0.044  0.000  0.638
Li  0.150  0.500  0.346
Li  0.500  0.500  0.000
Li  0.544  0.500  0.638
Li  0.650  0.000  0.346
Rh  0.239  0.500  0.964
Rh  0.313  0.000  0.664
Rh  0.371  0.000  0.297
Rh  0.739  0.000  0.964
Rh  0.813  0.500  0.664
Rh  0.871  0.500  0.297

## Properties
Energy of formation from the pure elements = -0.13 eV per atom
Total magnetization = 0.00 Bohr magnetons per cell

***

Compound: Li3Rh2
Source: Alexandria
Functional: GGA-PBE
Structure: relaxed

a = 4.788 Å, b = 4.788 Å, c = 10.361 Å
α = 90.00°, β = 90.00°, γ = 120.00°
Atoms (fractional coordinates):
Li  0.000  0.500  0.000
Li  0.167  0.333  0.333
Li  0.167  0.833  0.333
Li  0.333  0.167  0.667
Li  0.500  0.000  0.000
Li  0.500  0.500  0.000
Li  0.667  0.833  0.333
Li  0.833  0.167  0.667
Li  0.833  0.667  0.667
Rh  0.000  0.000  0.128
Rh  0.000  0.000  0.872
Rh  0.333  0.667  0.539
Rh  0.333  0.667  0.794
Rh  0.667  0.333  0.206
Rh  0.667  0.333  0.461

## Properties
Energy of formation from the pure elements = 0.09 eV per atom
Total magnetization = 4.29 Bohr magnetons per cell
Distance to the lowest polymorph of the same formula = 232 meV/atom

***

Compound: LiRh4
Source: Alexandria
Functional: GGA-PBE
Structure: relaxed

a = 8.843 Å, b = 2.681 Å, c = 6.512 Å
α = 90.00°, β = 113.84°, γ = 90.00°
Atoms (fractional coordinates):
Li  0.000  0.000  0.000
Li  0.500  0.500  0.000
Rh  0.111  0.000  0.417
Rh  0.183  0.500  0.807
Rh  0.317  0.000  0.193
Rh  0.389  0.500  0.583
Rh  0.611  0.500  0.417
Rh  0.683  0.000  0.807
Rh  0.817  0.500  0.193
Rh  0.889  0.000  0.583

## Properties
Energy of formation from the pure elements = 0.03 eV per atom
Total magnetization = 0.00 Bohr magnetons per cell
Distance to the lowest polymorph of the same formula = 73 meV/atom

***

Compound: Li2Rh
Source: Alexandria
Functional: GGA-PBE
Structure: relaxed

a = 10.003 Å, b = 2.683 Å, c = 6.509 Å
α = 90.00°, β = 103.06°, γ = 90.00°
Atoms (fractional coordinates):
Li  0.029  0.000  0.332
Li  0.149  0.500  0.034
Li  0.351  0.000  0.966
Li  0.471  0.500  0.668
Li  0.529  0.500  0.332
Li  0.649  0.000  0.034
Li  0.851  0.500  0.966
Li  0.971  0.000  0.668
Rh  0.204  0.500  0.644
Rh  0.296  0.000  0.356
Rh  0.704  0.000  0.644
Rh  0.796  0.500  0.356

## Properties
Energy of formation from the pure elements = -0.12 eV per atom
Total magnetization = 0.00 Bohr magnetons per cell

***

Compound: LiRh
Source: Alexandria
Functional: GGA-PBE
Structure: relaxed

a = 2.578 Å, b = 2.578 Å, c = 4.124 Å
α = 90.00°, β = 90.00°, γ = 90.00°
Atoms (fractional coordinates):
Li  0.000  0.000  0.000
Rh  0.500  0.500  0.500

## Properties
Energy of formation from the pure elements = -0.03 eV per atom
Total magnetization = 0.00 Bohr magnetons per cell

***

Compound: Li2Rh
Source: Alexandria
Functional: GGA-PBE
Structure: relaxed

a = 4.444 Å, b = 8.516 Å, c = 4.491 Å
α = 90.00°, β = 90.00°, γ = 90.00°
Atoms (fractional coordinates):
Li  0.000  0.090  0.250
Li  0.000  0.244  0.750
Li  0.000  0.756  0.250
Li  0.000  0.910  0.750
Li  0.500  0.256  0.250
Li  0.500  0.410  0.750
Li  0.500  0.590  0.250
Li  0.500  0.744  0.750
Rh  0.000  0.438  0.250
Rh  0.000  0.562  0.750
Rh  0.500  0.062  0.750
Rh  0.500  0.938  0.250

## Properties
Energy of formation from the pure elements = -0.11 eV per atom
Total magnetization = 0.47 Bohr magnetons per cell

***

Compound: LiRh4
Source: Alexandria
Functional: GGA-PBE
Structure: relaxed

a = 6.018 Å, b = 6.018 Å, c = 3.785 Å
α = 90.00°, β = 90.00°, γ = 90.00°
Atoms (fractional coordinates):
Li  0.000  0.000  0.000
Li  0.500  0.500  0.500
Rh  0.103  0.301  0.500
Rh  0.199  0.603  0.000
Rh  0.301  0.897  0.500
Rh  0.397  0.199  0.000
Rh  0.603  0.801  0.000
Rh  0.699  0.103  0.500
Rh  0.801  0.397  0.000
Rh  0.897  0.699  0.500

## Properties
Energy of formation from the pure elements = -0.05 eV per atom
Total magnetization = 0.00 Bohr magnetons per cell
Distance to the lowest polymorph of the same formula = 0 meV/atom

***

Compound: Li4Rh5
Source: Alexandria
Functional: GGA-PBE
Structure: relaxed

a = 5.968 Å, b = 5.968 Å, c = 5.968 Å
α = 95.99°, β = 95.99°, γ = 142.30°
Atoms (fractional coordinates):
Li  0.000  0.320  0.320
Li  0.000  0.680  0.680
Li  0.320  0.000  0.320
Li  0.680  0.000  0.680
Rh  0.000  0.000  0.000
Rh  0.332  0.332  0.664
Rh  0.332  0.668  0.000
Rh  0.668  0.332  0.000
Rh  0.668  0.668  0.336

## Properties
Energy of formation from the pure elements = -0.05 eV per atom
Total magnetization = 0.49 Bohr magnetons per cell